Record 1
Here is crystalline Pm4Ge5Ru2 at its relaxed geometry from Alexandria. Energies are from GGA-PBE.

```
Pm4Ge5Ru2
1.0
7.128 0.000 0.000
0.000 4.268 0.000
-0.017 0.000 8.255
Pm Ge Ru
4 5 2
direct
0.227 0.000 0.141
0.249 0.000 0.614
0.751 0.000 0.386
0.773 0.000 0.859
0.115 0.500 0.879
0.423 0.500 0.354
0.500 0.500 0.000
0.577 0.500 0.646
0.885 0.500 0.121
0.074 0.500 0.373
0.926 0.500 0.627
```

Properties
Energy relative to the elements ... -567.5 meV per atom
SG ... P2/m
Crystal system ... monoclinic



Record 2
Here is crystalline HgBi2Br at its relaxed geometry from Alexandria. Energies are from GGA-PBE.

```
HgBi2Br
1.0
0.000 3.831 3.831
3.831 0.000 3.831
3.831 3.831 0.000
Hg Bi Br
1 2 1
direct
0.000 0.000 0.000
0.250 0.250 0.250
0.750 0.750 0.750
0.500 0.500 0.500
```

Properties
SG ... Fm-3m
Uncorrected formation energy ... 0.232 eV per formula unit
Crystal system ... cubic
Energy relative to the lowest polymorph listed for this composition ... 108 meV per atom



Record 3
Here is crystalline BaZrNi2 at its relaxed geometry from Alexandria. Energies are from GGA-PBE.

```
BaZrNi2
1.0
3.399 0.000 0.000
0.000 3.399 0.000
0.000 0.000 7.409
Ba Zr Ni
1 1 2
direct
0.000 0.000 0.000
0.000 0.000 0.500
0.500 0.500 0.328
0.500 0.500 0.672
```

Properties
Energy relative to the elements ... -88.7 meV per atom
SG ... P4/mmm
Crystal system ... tetragonal
Energy relative to the lowest polymorph listed for this composition ... 0 meV per atom



Record 4
Here is crystalline Sc4C2N at its relaxed geometry from Alexandria. Energies are from GGA-PBE.

```
Sc4C2N
1.0
-2.037 2.037 6.119
2.037 -2.037 6.119
2.037 2.037 -6.119
Sc C N
4 2 1
direct
0.000 0.500 0.500
0.188 0.188 0.000
0.500 0.000 0.500
0.812 0.812 0.000
0.367 0.367 0.000
0.633 0.633 0.000
0.000 0.000 0.000
```

Properties
SG ... I4/mmm
Uncorrected formation energy ... -2.918 eV per formula unit
Crystal system ... tetragonal
Energy relative to the lowest polymorph listed for this composition ... 334 meV per atom



Record 5
Here is crystalline Th3Sc2Tl4 at its relaxed geometry from Alexandria. Energies are from GGA-PBE.

```
Th3Sc2Tl4
1.0
5.902 -2.553 0.000
5.902 2.553 0.000
-5.001 0.000 8.331
Th Sc Tl
3 2 4
direct
0.000 0.000 0.000
0.347 0.347 0.321
0.653 0.653 0.679
0.372 0.372 0.701
0.628 0.628 0.299
0.075 0.075 0.400
0.308 0.308 0.962
0.692 0.692 0.038
0.925 0.925 0.600
```

Properties
Energy relative to the elements ... -148.9 meV per atom
SG ... C2/m
Crystal system ... monoclinic



Record 6
Here is crystalline Pr5Tl6Hg at its relaxed geometry from Alexandria. Energies are from GGA-PBE.

```
Pr5Tl6Hg
1.0
8.293 -4.491 0.000
8.293 4.491 0.000
-1.544 0.000 4.840
Pr Tl Hg
5 6 1
direct
0.000 0.000 0.000
0.178 0.178 0.677
0.362 0.362 0.362
0.638 0.638 0.638
0.822 0.822 0.323
0.072 0.586 0.829
0.232 0.768 0.500
0.414 0.928 0.171
0.586 0.072 0.829
0.768 0.232 0.500
0.928 0.414 0.171
0.500 0.500 0.000
```

Properties
Energy relative to the elements ... -343.7 meV per atom
SG ... C2/m
Crystal system ... monoclinic



Record 7
Here is crystalline YMg2Fe at its relaxed geometry from Alexandria. Energies are from GGA-PBE.

```
YMg2Fe
1.0
1.569 0.906 10.092
-1.569 0.906 10.092
0.000 -1.811 10.092
Y Mg Fe
1 2 1
direct
0.000 0.000 0.000
0.237 0.237 0.237
0.763 0.763 0.763
0.500 0.500 0.500
```

Properties
Energy relative to the elements ... 331.2 meV per atom
SG ... R-3m
Crystal system ... trigonal



Record 8
Here is crystalline Ba2MnRe at its relaxed geometry from Alexandria. Energies are from GGA-PBE.

```
Ba2MnRe
1.0
4.739 -1.563 0.000
4.739 1.563 0.000
-0.473 0.000 8.136
Ba Mn Re
2 1 1
direct
0.244 0.244 0.231
0.756 0.756 0.769
0.000 0.000 0.500
0.500 0.500 0.000
```

Properties
Energy relative to the elements ... 1401.1 meV per atom
SG ... C2/m
Crystal system ... monoclinic
Energy relative to the lowest polymorph listed for this composition ... 930 meV per atom



Record 9
Here is crystalline Ta2NbB at its relaxed geometry from Alexandria. Energies are from GGA-PBE.

```
Ta2NbB
1.0
-3.740 3.740 2.362
3.740 -3.740 2.362
3.740 3.740 -2.362
Ta Nb B
4 2 2
direct
0.025 0.625 0.900
0.375 0.275 0.400
0.725 0.125 0.100
0.875 0.975 0.600
0.250 0.750 0.500
0.500 0.500 0.000
0.000 0.000 0.000
0.750 0.250 0.500
```

Properties
Energy relative to the elements ... 248.4 meV per atom
SG ... I-42d
Crystal system ... tetragonal



Record 10
Here is crystalline HfPa2VN6 at its relaxed geometry from Alexandria. Energies are from GGA-PBE.

```
HfPa2VN6
1.0
2.812 1.624 4.684
-2.812 1.624 4.684
0.000 -3.247 4.684
Hf Pa V N
1 2 1 6
direct
0.000 0.000 0.000
0.226 0.226 0.226
0.724 0.724 0.724
0.501 0.501 0.501
0.165 0.376 0.780
0.303 0.870 0.640
0.376 0.780 0.165
0.640 0.303 0.870
0.780 0.165 0.376
0.870 0.640 0.303
```

Properties
SG ... R3
Uncorrected formation energy ... -13.826 eV per formula unit
Crystal system ... trigonal



no.,total magnetic moment (μB per formula unit)
1,0.00
2,0.00
3,0.00
4,0.00
5,0.00
6,0.00
7,2.44
8,4.76
9,0.00
10,1.05